No. 1
{
  "formula": "BaZnN3",
  "functional": "PBE",
  "state": "relaxed",
  "volume_a3_per_cell": 103.36,
  "raw_formation_energy_ev_per_atom": 2.45,
  "lattice": [[4.693, 0.000, 0.000], [0.000, 4.693, 0.000], [0.000, 0.000, 4.693]],
  "species": ["Ba", "Zn", "N", "N", "N"],
  "frac_coords": [[0.000, 0.000, 0.000], [0.500, 0.500, 0.500], [0.000, 0.000, 0.500], [0.000, 0.500, 0.000], [0.500, 0.000, 0.000]]
}

No. 2
{
  "formula": "PrSbAu2",
  "functional": "PBE",
  "state": "relaxed",
  "volume_a3_per_cell": 94.87,
  "raw_formation_energy_ev_per_atom": -0.58,
  "lattice": [[4.552, 0.000, 0.000], [0.000, 4.552, 0.000], [0.000, 0.000, 4.578]],
  "species": ["Pr", "Sb", "Au", "Au"],
  "frac_coords": [[0.000, 0.000, 0.000], [0.500, 0.500, 0.000], [0.000, 0.500, 0.500], [0.500, 0.000, 0.500]]
}

No. 3
{
  "formula": "BeCd2Ag",
  "functional": "PBE",
  "state": "relaxed",
  "formation_energy_mev_per_atom": 274,
  "volume_a3_per_cell": 139.03,
  "lattice": [[4.181, 0.000, 0.000], [0.000, 4.181, 0.000], [0.000, 0.000, 7.954]],
  "species": ["Be", "Be", "Cd", "Cd", "Cd", "Cd", "Ag", "Ag"],
  "frac_coords": [[0.000, 0.000, 0.000], [0.500, 0.500, 0.500], [0.000, 0.500, 0.250], [0.000, 0.500, 0.750], [0.500, 0.000, 0.250], [0.500, 0.000, 0.750], [0.000, 0.000, 0.500], [0.500, 0.500, 0.000]]
}

No. 4
{
  "formula": "LaSm2Zn2Si2",
  "functional": "PBE",
  "state": "relaxed",
  "volume_a3_per_cell": 172.74,
  "raw_formation_energy_ev_per_atom": -0.47,
  "lattice": [[2.070, 1.195, 11.636], [-2.070, 1.195, 11.636], [0.000, -2.390, 11.636]],
  "species": ["La", "Sm", "Sm", "Zn", "Zn", "Si", "Si"],
  "frac_coords": [[0.000, 0.000, 0.000], [0.123, 0.123, 0.123], [0.877, 0.877, 0.877], [0.397, 0.397, 0.397], [0.603, 0.603, 0.603], [0.269, 0.269, 0.269], [0.731, 0.731, 0.731]]
}

No. 5
{
  "formula": "Tb5SnRh4",
  "functional": "PBE",
  "state": "relaxed",
  "formation_energy_mev_per_atom": -804,
  "volume_a3_per_cell": 217.27,
  "lattice": [[3.418, 0.000, 0.000], [0.000, 3.418, 0.000], [0.000, 0.000, 18.598]],
  "species": ["Tb", "Tb", "Tb", "Tb", "Tb", "Sn", "Rh", "Rh", "Rh", "Rh"],
  "frac_coords": [[0.000, 0.000, 0.000], [0.000, 0.000, 0.188], [0.000, 0.000, 0.375], [0.000, 0.000, 0.625], [0.000, 0.000, 0.812], [0.500, 0.500, 0.500], [0.500, 0.500, 0.094], [0.500, 0.500, 0.283], [0.500, 0.500, 0.717], [0.500, 0.500, 0.906]]
}

No. 6
{
  "formula": "Tb2Be3AgPt4",
  "functional": "PBE",
  "state": "relaxed",
  "formation_energy_mev_per_atom": -795,
  "volume_a3_per_cell": 166.78,
  "lattice": [[3.989, 0.000, 0.000], [0.000, 3.989, 0.000], [0.000, 0.000, 10.479]],
  "species": ["Tb", "Tb", "Be", "Be", "Be", "Ag", "Pt", "Pt", "Pt", "Pt"],
  "frac_coords": [[0.000, 0.500, 0.237], [0.500, 0.000, 0.763], [0.000, 0.500, 0.887], [0.500, 0.000, 0.113], [0.500, 0.500, 0.500], [0.000, 0.000, 0.500], [0.000, 0.000, 0.000], [0.000, 0.500, 0.670], [0.500, 0.000, 0.330], [0.500, 0.500, 0.000]]
}